A plane-wave DFT calculation with PBE-GGA was carried out for an optimized crystal structure of Cd2BAsPd6.

The crystal system is triclinic. The value obtained for the formation energy is -309 meV per atom.

It has space group P-1 (No. 2), with a = 5.627 Å, b = 5.808 Å, c = 6.064 Å, α = 72.09°, β = 71.55° and γ = 63.73°. The inequivalent atoms are Cd at (0.205, 0.309, 0.289), B at (0.000, 0.000, 0.000), As at (0.500, 0.500, 0.500), Pd at (0.140, 0.852, 0.312), Pd at (0.273, 0.663, 0.872) and Pd at (0.304, 0.165, 0.822).

A plane-wave DFT calculation with PBE-GGA was carried out for an optimized crystal structure of CdReB2As.

The crystal system is tetragonal. The value obtained for the formation energy is 1276 meV per atom.

It has space group P4/mmm (No. 123), with a = 4.096 Å, b = 4.096 Å, c = 5.429 Å, α = 90.00°, β = 90.00° and γ = 90.00°. The inequivalent atoms are Cd at (0.000, 0.000, 0.000), Re at (0.000, 0.000, 0.500), B at (0.000, 0.500, 0.500) and As at (0.500, 0.500, 0.000).

A plane-wave DFT calculation with PBE-GGA was carried out for an optimized crystal structure of CdBAs2Se.

The calculation puts the uncorrected formation energy at 1.714 eV per atom. The crystal system is tetragonal. The calculation puts the excess energy over the best structure of this formula in the dataset at 5.15 eV per formula unit.

It has space group P4/mmm (No. 123), with a = 5.122 Å, b = 5.122 Å, c = 5.314 Å, α = 90.00°, β = 90.00° and γ = 90.00°. The inequivalent atoms are Cd at (0.000, 0.000, 0.000), B at (0.500, 0.500, 0.500), As at (0.000, 0.500, 0.000) and Se at (0.000, 0.000, 0.500).

| no. | ρ (g/cm3) |
| --- | --- |
| 1 | 9.536 |
| 2 | 7.204 |
| 3 | 4.193 |